1.
First-principles (PBE) data for Ho4MgSc after structural relaxation, as listed in the Alexandria database.

Output
Energy above the lowest structure with this stoichiometry (eV/atom): 0.0000
Energy of formation from the pure elements (eV per atom): 0.004
Crystal system: tetragonal

Unit cell a=3.4831 b=3.4831 c=14.1533 alpha=90.00 beta=90.00 gamma=90.00
Closest atoms and distances in Å follow each position.
Fractional positions:
Ho1 0.5000 0.5000 0.8354  4 Sc 3.39, 8 Ho 3.48-3.49
Ho2 0.5000 0.5000 0.1646  4 Sc 3.39, 8 Ho 3.48-3.49
Ho3 0.0000 0.0000 0.6608  4 Mg 3.35, 8 Ho 3.48-3.49
Ho4 0.0000 0.0000 0.3392  4 Mg 3.35, 8 Ho 3.48-3.49
Mg1 0.5000 0.5000 0.5000  8 Ho 3.35, 4 Mg 3.48
Sc1 0.0000 0.0000 0.0000  8 Ho 3.39, 4 Sc 3.48

---

2.
First-principles (PBE) data for Cs2Rb3H5 after structural relaxation, as listed in the Alexandria database.

Output
Crystal system: monoclinic

Unit cell a=4.3188 b=7.9186 c=9.2664 alpha=79.16 beta=76.52 gamma=74.18
Closest atoms and distances in Å follow each position.
Fractional positions:
Cs1 0.3229 0.0821 0.2720  7 H 3.17-3.39
Cs2 0.6771 0.9179 0.7280  7 H 3.17-3.39
Rb1 0.5000 0.5000 0.5000  6 H 2.95-3.04
Rb2 0.1123 0.6523 0.1230  5 H 2.73-2.93
Rb3 0.8877 0.3477 0.8770  5 H 2.73-2.93
H1 0.0000 0.0000 0.0000  2 Rb 2.73
H2 0.0946 0.2241 0.5867  3 Rb 2.90-3.04, 1 Cs 3.17
H3 0.9054 0.7759 0.4133  3 Rb 2.90-3.04, 1 Cs 3.17
H4 0.6988 0.4114 0.1910  4 Rb 2.85-2.95
H5 0.3012 0.5886 0.8090  4 Rb 2.85-2.95

---

3.
First-principles (PBE) data for In4Hg2Sb after structural relaxation, as listed in the Alexandria database.

Output
Crystal system: orthorhombic
Formation energy without anion corrections (eV per atom): 0.04

Unit cell a=4.5112 b=8.4344 c=6.8481 alpha=128.01 beta=90.00 gamma=90.00
Closest atoms and distances in Å follow each position.
Fractional positions:
Sb1 0.5000 0.5000 0.0000  8 In 3.06-3.42
Hg1 0.0000 0.8033 0.6065  6 In 3.02-3.14
Hg2 0.0000 0.1967 0.3935  6 In 3.02-3.14
In1 0.0000 0.2550 0.0000  2 Hg 3.02, 2 Sb 3.06
In2 0.0000 0.7450 0.0000  2 Hg 3.02, 2 Sb 3.06
In3 0.5000 0.5000 0.5000  4 Hg 3.14, 2 Sb 3.42, 4 In 3.52
In4 0.5000 0.0000 0.5000  4 Hg 3.14, 2 Sb 3.42, 4 In 3.52

---

4.
First-principles (PBE) data for Ba2ZrAs after structural relaxation, as listed in the Alexandria database.

Output
Energy of formation from the pure elements (eV per atom): -0.288
Crystal system: orthorhombic

Unit cell a=4.3182 b=5.3066 c=7.0073 alpha=67.75 beta=90.00 gamma=90.00
Closest atoms and distances in Å follow each position.
Fractional positions:
As1 0.5000 0.5595 0.7557  2 Zr 2.68
Ba1 0.0000 0.9821 0.9108  4 As 3.57, 3 Zr 3.71-3.90
Ba2 0.5000 0.2768 0.3216  4 Zr 3.64, 3 As 3.67-3.87
Zr1 0.0000 0.6817 0.5119  2 As 2.68

---

5.
First-principles (PBE) data for Si3Ni after structural relaxation, as listed in the Alexandria database.

Output
Crystal system: monoclinic
Formation energy without anion corrections (eV per atom): 0.13

Unit cell a=4.3856 b=4.3856 c=4.6757 alpha=79.35 beta=79.35 gamma=35.96
Closest atoms and distances in Å follow each position.
Fractional positions:
Ni1 0.0000 0.0000 0.0000  10 Si 2.46-2.70, 2 Ni 2.71
Si1 0.5000 0.5000 0.5000  8 Si 2.53-2.71, 4 Ni 2.70
Si2 0.7362 0.7362 0.7679  3 Ni 2.46-2.64, 7 Si 2.53-2.71
Si3 0.2638 0.2638 0.2321  3 Ni 2.46-2.64, 7 Si 2.53-2.71

---

6.
First-principles (PBE) data for UZn4Rh after structural relaxation, as listed in the Alexandria database.

Output
Energy of formation from the pure elements (eV per atom): -0.087
Crystal system: cubic

Unit cell a=5.1918 b=5.1918 c=5.1918 alpha=60.00 beta=60.00 gamma=60.00
Closest atoms and distances in Å follow each position.
Fractional positions:
Rh1 0.2500 0.2500 0.2500  12 Zn 3.04, 4 U 3.18
Zn1 0.6237 0.6237 0.1289  6 Zn 2.57-2.62
Zn2 0.6237 0.1289 0.6237  6 Zn 2.57-2.62
Zn3 0.6237 0.6237 0.6237  6 Zn 2.57-2.62
Zn4 0.1289 0.6237 0.6237  6 Zn 2.57-2.62
U1 0.0000 0.0000 0.0000  12 Zn 3.05, 4 Rh 3.18

---

| no. | Fermi-level density of states (states/eV/f.u.) | E_tot (eV/atom) |
| --- | --- | --- |
| 1 | 8.65 | -4.37 |
| 2 | 0.00 | -2.29 |
| 3 | 3.19 | -2.20 |
| 4 | 4.97 | -4.55 |
| 5 | 1.66 | -5.39 |
| 6 | 5.74 | -4.04 |